# MgCoAsO4

A geometry-optimized MgCoAsO4 structure (PBE with a Hubbard U, Alexandria).

Values from the calculation:
- E_tot (eV per cell) = -83.11
- total magnetization (Bohr magnetons per cell) = 0.00
- mass density (g/cm³) = 4.87

```
MgCoAsO4
1.0
-2.8441 3.3194 4.0152
2.8441 -3.3194 4.0152
2.8441 3.3194 -4.0152
Mg Co As O
2 2 2 8
direct
0.0000 0.0000 0.0000
0.5000 0.0000 0.5000
0.5000 0.0000 0.0000
0.5000 0.5000 0.5000
0.1123 0.3623 0.7500
0.8877 0.6377 0.2500
0.2537 0.2513 0.4976
0.2537 0.7561 0.0024
0.3026 0.2480 0.0546
0.3067 0.7520 0.5546
0.6933 0.2480 0.4454
0.6974 0.7520 0.9454
0.7463 0.2439 0.9976
0.7463 0.7487 0.5024
```